Computed, not measured: MgZrPb2 at its PBEsol-relaxed geometry at the SCAN level of DFT.

D(E_F) in states/eV/f.u.: 1.927
Formation enthalpy at 0 K in meV per atom: -214
Energy in eV per cell: -188.092

Lattice parameters (Å, degrees): 5.9881 5.9881 5.3120 108.15 108.15 32.03
Fractional coordinates of all 4 atoms:
Mg (0.0000, 0.0000, 0.0000)
Zr (0.7436, 0.7436, 0.4057)
Pb (0.2481, 0.2481, 0.9039)
Pb (0.4868, 0.4868, 0.4787)

Computed, not measured: Cr2Ga2Ag at its PBEsol-relaxed geometry at the SCAN level of DFT.

D(E_F) in states/eV/f.u.: 2.874
Formation enthalpy at 0 K in meV per atom: 441
Energy in eV per cell: -98.626

Lattice parameters (Å, degrees): 7.0601 7.0601 7.0601 152.78 152.78 38.88
Fractional coordinates of all 5 atoms:
Cr (0.2500, 0.7500, 0.5000)
Cr (0.7500, 0.2500, 0.5000)
Ga (0.1049, 0.1049, 0.0000)
Ga (0.8951, 0.8951, 0.0000)
Ag (0.5000, 0.5000, 0.0000)

Computed, not measured: CrCo3 at its PBEsol-relaxed geometry at the SCAN level of DFT.

D(E_F) in states/eV/f.u.: 2.995
Formation enthalpy at 0 K in meV per atom: 140
Energy above the lowest structure with this stoichiometry in meV per atom: 22
Energy in eV per cell: -69.737

Lattice parameters (Å, degrees): 2.4282 2.4282 6.9768 90.00 90.00 90.00
Fractional coordinates of all 4 atoms:
Cr (0.0000, 0.0000, 0.0000)
Co (0.0000, 0.0000, 0.5000)
Co (0.5000, 0.5000, 0.2516)
Co (0.5000, 0.5000, 0.7484)

Computed, not measured: Ca2CoTe at its PBEsol-relaxed geometry at the SCAN level of DFT.

Energy relative to the elements, uncorrected in eV per atom: -0.3222
D(E_F) in states/eV/f.u.: 1.441
Energy in eV per cell: -75.171

Lattice parameters (Å, degrees): 5.9854 5.9854 5.9854 138.23 138.23 60.55
Fractional coordinates of all 4 atoms:
Ca (0.0000, 0.0000, 0.0000)
Ca (0.7500, 0.2500, 0.5000)
Co (0.5000, 0.5000, 0.0000)
Te (0.2500, 0.7500, 0.5000)

Computed, not measured: CoNiSeN2 at its PBEsol-relaxed geometry at the SCAN level of DFT.

Energy relative to the elements, uncorrected in eV per atom: 1.0532
D(E_F) in states/eV/f.u.: 1.560
Energy in eV per cell: -66.872

Lattice parameters (Å, degrees): 3.4965 3.4965 5.3233 90.00 90.00 90.00
Fractional coordinates of all 5 atoms:
Co (0.0000, 0.0000, 0.0000)
Ni (0.5000, 0.5000, 0.5000)
Se (0.5000, 0.5000, 0.0000)
N (0.0000, 0.5000, 0.5000)
N (0.5000, 0.0000, 0.5000)

Computed, not measured: RbGaOs2N at its PBEsol-relaxed geometry at the SCAN level of DFT.

Energy relative to the elements, uncorrected in eV per atom: 1.0837
D(E_F) in states/eV/f.u.: 3.590
Energy in eV per cell: -184.718

Lattice parameters (Å, degrees): 3.9813 3.9813 5.4633 90.00 90.00 90.00
Fractional coordinates of all 5 atoms:
Rb (0.0000, 0.0000, 0.0000)
Ga (0.5000, 0.5000, 0.0000)
Os (0.0000, 0.5000, 0.5000)
Os (0.5000, 0.0000, 0.5000)
N (0.0000, 0.0000, 0.5000)

Computed, not measured: Li3V2O4F2 at its PBEsol-relaxed geometry at the SCAN level of DFT.

Energy relative to the elements, uncorrected in eV per atom: -2.7240
D(E_F) in states/eV/f.u.: 2.378
Energy above the lowest structure with this stoichiometry in meV per atom: 0
Energy in eV per cell: -312.345

Lattice parameters (Å, degrees): 4.8935 8.3863 7.3498 90.00 92.08 90.00
Fractional coordinates of all 33 atoms:
Li (0.0000, 0.0000, 0.0000)
Li (0.0045, 0.3330, 0.0262)
Li (0.0045, 0.6670, 0.0262)
Li (0.1652, 0.5000, 0.7607)
Li (0.4749, 0.1792, 0.0493)
Li (0.4749, 0.8208, 0.0493)
Li (0.6071, 0.0000, 0.7608)
Li (0.6337, 0.3323, 0.7658)
Li (0.6337, 0.6677, 0.7658)
V (0.2662, 0.0000, 0.4082)
V (0.2835, 0.3179, 0.4124)
V (0.2835, 0.6821, 0.4124)
V (0.7933, 0.5000, 0.3861)
V (0.8372, 0.1589, 0.4110)
V (0.8372, 0.8411, 0.4110)
O (0.1235, 0.5000, 0.2615)
O (0.1344, 0.1670, 0.2376)
O (0.1344, 0.8330, 0.2376)
O (0.4637, 0.5000, 0.5438)
O (0.4803, 0.1670, 0.5499)
O (0.4803, 0.8330, 0.5499)
O (0.6275, 0.3275, 0.2682)
O (0.6275, 0.6725, 0.2682)
O (0.6296, 0.0000, 0.2764)
O (0.9594, 0.0000, 0.5781)
O (0.9647, 0.3385, 0.5542)
O (0.9647, 0.6615, 0.5542)
F (0.3179, 0.3346, 0.8983)
F (0.3179, 0.6654, 0.8983)
F (0.3416, 0.0000, 0.9323)
F (0.7937, 0.1702, 0.9135)
F (0.7937, 0.8298, 0.9135)
F (0.8358, 0.5000, 0.8872)

Computed, not measured: RbOs3Ru at its PBEsol-relaxed geometry at the SCAN level of DFT.

D(E_F) in states/eV/f.u.: 7.135
Formation enthalpy at 0 K in meV per atom: 4585
Energy in eV per cell: -248.279

Lattice parameters (Å, degrees): 4.5459 4.5459 4.5459 90.00 90.00 90.00
Fractional coordinates of all 5 atoms:
Rb (0.0000, 0.0000, 0.0000)
Os (0.0000, 0.0000, 0.5000)
Os (0.0000, 0.5000, 0.0000)
Os (0.5000, 0.0000, 0.0000)
Ru (0.5000, 0.5000, 0.5000)

Computed, not measured: LiHgAs2 at its PBEsol-relaxed geometry at the SCAN level of DFT.

D(E_F) in states/eV/f.u.: 2.186
Formation enthalpy at 0 K in meV per atom: 66
Energy in eV per cell: -110.672

Lattice parameters (Å, degrees): 4.7566 4.7566 4.7566 60.00 60.00 60.00
Fractional coordinates of all 4 atoms:
Li (0.0000, 0.0000, 0.0000)
Hg (0.2500, 0.2500, 0.2500)
As (0.5000, 0.5000, 0.5000)
As (0.7500, 0.7500, 0.7500)

Computed, not measured: La2WBr at its PBEsol-relaxed geometry at the SCAN level of DFT.

Energy relative to the elements, uncorrected in eV per atom: 0.3425
D(E_F) in states/eV/f.u.: 4.851
Energy above the lowest structure with this stoichiometry in meV per atom: 512
Energy in eV per cell: -173.987

Lattice parameters (Å, degrees): 6.2382 6.2382 6.2382 140.76 140.76 56.69
Fractional coordinates of all 4 atoms:
La (0.0000, 0.0000, 0.0000)
La (0.7500, 0.2500, 0.5000)
W (0.5000, 0.5000, 0.0000)
Br (0.2500, 0.7500, 0.5000)

Computed, not measured: ScPt2Rh at its PBEsol-relaxed geometry at the SCAN level of DFT.

D(E_F) in states/eV/f.u.: 2.694
Formation enthalpy at 0 K in meV per atom: -861
Energy in eV per cell: -191.841

Lattice parameters (Å, degrees): 4.7214 4.7214 2.8855 90.00 90.00 108.83
Fractional coordinates of all 4 atoms:
Sc (0.0000, 0.0000, 0.0000)
Pt (0.0000, 0.5000, 0.5000)
Pt (0.5000, 0.0000, 0.5000)
Rh (0.5000, 0.5000, 0.0000)

Computed, not measured: Tc3PtN at its PBEsol-relaxed geometry at the SCAN level of DFT.

Energy relative to the elements, uncorrected in eV per atom: -0.1215
D(E_F) in states/eV/f.u.: 2.483
Energy in eV per cell: -185.272

Lattice parameters (Å, degrees): 3.9798 3.9798 3.9798 90.00 90.00 90.00
Fractional coordinates of all 5 atoms:
Tc (0.0000, 0.0000, 0.5000)
Tc (0.0000, 0.5000, 0.0000)
Tc (0.5000, 0.0000, 0.0000)
Pt (0.5000, 0.5000, 0.5000)
N (0.0000, 0.0000, 0.0000)

Computed, not measured: Mg2AsPt at its PBEsol-relaxed geometry at the SCAN level of DFT.

D(E_F) in states/eV/f.u.: 0.821
Formation enthalpy at 0 K in meV per atom: -646
Energy in eV per cell: -102.915

Lattice parameters (Å, degrees): 4.6773 4.6773 3.0940 90.00 90.00 98.79
Fractional coordinates of all 4 atoms:
Mg (0.0000, 0.5000, 0.0000)
Mg (0.5000, 0.0000, 0.0000)
As (0.0000, 0.0000, 0.5000)
Pt (0.5000, 0.5000, 0.5000)

Computed, not measured: Ce3Zn11 at its PBEsol-relaxed geometry at the SCAN level of DFT.

D(E_F) in states/eV/f.u.: 12.134
Formation enthalpy at 0 K in meV per atom: -338
Energy in eV per cell: -287.094

Lattice parameters (Å, degrees): 8.0904 8.0904 8.0904 148.28 116.26 72.95
Fractional coordinates of all 14 atoms:
Ce (0.0000, 0.0000, 0.0000)
Ce (0.2911, 0.2911, 0.0000)
Ce (0.7089, 0.7089, 0.0000)
Zn (0.0122, 0.6549, 0.3574)
Zn (0.1441, 0.8571, 0.2869)
Zn (0.2975, 0.6549, 0.6426)
Zn (0.3235, 0.5000, 0.8235)
Zn (0.4298, 0.1429, 0.2869)
Zn (0.5000, 0.0000, 0.5000)
Zn (0.5702, 0.8571, 0.7131)
Zn (0.6765, 0.5000, 0.1765)
Zn (0.7025, 0.3451, 0.3574)
Zn (0.8559, 0.1429, 0.7131)
Zn (0.9878, 0.3451, 0.6426)